(1)
Compound: Ni2Sb2S
Source: Alexandria
Functional: GGA-PBE
Structure: optimized geometry

Cell: 4.4500 4.4500 5.8729 Å, 67.74 67.74 90.00°
Sites, in units of the cell vectors:
1 Ni 0.6184 0.6184 0.7633
2 Ni 0.3816 0.3816 0.2367
3 S 0.0000 0.0000 0.0000
4 Sb 0.7500 0.2500 0.5000
5 Sb 0.2500 0.7500 0.5000

Calculated values
- Formation energy (no corrections): 0.3487 eV/atom
- Crystal system: tetragonal
- Volume: 98.2 Å³ per cell

(2)
Compound: SnRhClF2
Source: Alexandria
Functional: GGA-PBE
Structure: optimized geometry

Cell: 4.1949 5.4359 4.1949 Å, 90.00 90.00 90.00°
Site moments in Bohr magnetons follow the coordinates.
Sites, in units of the cell vectors:
1 Sn 0.0000 0.0000 0.0000  -0.02
2 F 0.0000 0.0000 0.5000  0.00
3 Rh 0.0000 0.5000 0.0000  0.93
4 Cl 0.5000 0.5000 0.5000  0.06
5 F 0.5000 0.0000 0.0000  0.00

Calculated values
- Formation energy (no corrections): -0.9442 eV/atom
- Crystal system: tetragonal
- Volume: 95.7 Å³ per cell

(3)
Compound: Al2Tc2P
Source: Alexandria
Functional: GGA-PBE
Structure: optimized geometry

Cell: 6.1876 6.1876 3.9328 Å, 90.00 90.00 90.00°
Sites, in units of the cell vectors:
1 Al 0.3496 0.1504 0.5000
2 Tc 0.6615 0.1615 0.0000
3 Al 0.8496 0.3496 0.5000
4 P 0.0000 0.0000 0.0000
5 Al 0.6504 0.8496 0.5000
6 P 0.5000 0.5000 0.0000
7 Tc 0.3385 0.8385 0.0000
8 Tc 0.8385 0.6615 0.0000
9 Tc 0.1615 0.3385 0.0000
10 Al 0.1504 0.6504 0.5000

Calculated values
- Crystal system: tetragonal
- ΔE_f: -1.80 eV/f.u.
- Volume: 150.6 Å³ per cell

(4)
Compound: Ac4IrRh2
Source: Alexandria
Functional: GGA-PBE
Structure: optimized geometry

Cell: 4.4835 7.4980 7.9400 Å, 118.61 106.40 90.00°
Sites, in units of the cell vectors:
1 Rh 0.2402 0.2389 0.4804
2 Ac 0.8668 0.5327 0.7336
3 Ac 0.3777 0.0476 0.7554
4 Rh 0.7598 0.7611 0.5196
5 Ir 0.0000 0.0000 0.0000
6 Ac 0.6223 0.9524 0.2446
7 Ac 0.1332 0.4673 0.2664

Calculated values
- Crystal system: monoclinic
- ΔE_f: -4.36 eV/f.u.
- Volume: 221.9 Å³ per cell

(5)
Compound: BaNa2Rh3O8
Source: Alexandria
Functional: GGA-PBE
Structure: optimized geometry

Cell: 6.4061 6.4061 6.7549 Å, 61.69 61.69 60.00°
Site moments in Bohr magnetons follow the coordinates.
Sites, in units of the cell vectors:
1 O 0.6896 0.2449 0.8205  -0.05
2 O 0.2449 0.6896 0.8205  -0.05
3 Na 0.1170 0.1170 0.6490  0.00
4 O 0.3270 0.7477 0.1777  -0.04
5 O 0.2449 0.2449 0.8205  -0.05
6 Rh 0.5003 0.0040 0.9955  -0.16
7 O 0.7477 0.3270 0.1777  -0.04
8 O 0.7477 0.7477 0.1777  -0.04
9 O 0.7248 0.7248 0.8257  -0.02
10 O 0.2723 0.2723 0.1830  -0.01
11 Rh 0.0040 0.5003 0.9955  -0.16
12 Ba 0.8734 0.8734 0.3798  -0.01
13 Na 0.4989 0.4989 0.5034  0.00
14 Rh 0.5003 0.5003 0.9955  -0.16

Calculated values
- Formation energy (no corrections): -1.1880 eV/atom
- Crystal system: trigonal
- Volume: 200.9 Å³ per cell

(6)
Compound: BeAl3Tc
Source: Alexandria
Functional: GGA-PBE
Structure: optimized geometry

Cell: 4.9130 4.9130 8.9531 Å, 90.65 90.65 39.14°
Sites, in units of the cell vectors:
1 Al 0.8652 0.8652 0.5456
2 Al 0.6426 0.6426 0.9567
3 Be 0.0280 0.0280 0.1462
4 Al 0.7325 0.7325 0.2471
5 Tc 0.4396 0.4396 0.3252
6 Tc 0.5604 0.5604 0.6748
7 Al 0.3574 0.3574 0.0433
8 Al 0.2675 0.2675 0.7529
9 Be 0.9720 0.9720 0.8538
10 Al 0.1348 0.1348 0.4544

Calculated values
- Crystal system: monoclinic
- ΔE_f: -1.30 eV/f.u.
- Volume: 136.4 Å³ per cell

(7)
Compound: CaSi2Mo
Source: Alexandria
Functional: GGA-PBE
Structure: optimized geometry

Cell: 4.7895 4.7895 4.7895 Å, 126.98 126.98 78.29°
Site moments in Bohr magnetons follow the coordinates.
Sites, in units of the cell vectors:
1 Si 0.5000 0.5000 0.0000  -0.01
2 Ca 0.2500 0.7500 0.5000  0.01
3 Si 0.0000 0.0000 0.0000  -0.01
4 Mo 0.7500 0.2500 0.5000  0.66

Calculated values
- Formation energy (no corrections): 0.1209 eV/atom
- Crystal system: tetragonal
- Volume: 67.9 Å³ per cell

(8)
Compound: LiNp2O6
Source: Alexandria
Functional: GGA-PBE
Structure: optimized geometry

Cell: 5.1368 5.3627 9.4474 Å, 90.03 90.00 90.00°
Site moments in Bohr magnetons follow the coordinates.
Sites, in units of the cell vectors:
1 O 0.1819 0.6584 0.5003  -0.09
2 O 0.8181 0.3416 0.4997  -0.09
3 O 0.7273 0.3070 0.1749  -0.08
4 O 0.7727 0.8070 0.6749  -0.08
5 Np 0.9993 0.5000 0.6804  1.74
6 Li 0.0000 0.0000 0.5000  0.00
7 O 0.2727 0.6930 0.8251  -0.08
8 O 0.3181 0.1584 0.0003  -0.09
9 O 0.7743 0.8072 0.3248  -0.08
10 O 0.2257 0.1928 0.6752  -0.08
11 Np 0.4993 0.0000 0.8196  1.74
12 Np 0.0007 0.5000 0.3196  1.74
13 Li 0.5000 0.5000 0.0000  0.00
14 O 0.2273 0.1930 0.3251  -0.08
15 O 0.6819 0.8416 0.9997  -0.09
16 O 0.7257 0.3072 0.8248  -0.08
17 O 0.2743 0.6928 0.1752  -0.08
18 Np 0.5007 0.0000 0.1804  1.74

Calculated values
- Formation energy (no corrections): -2.6874 eV/atom
- Crystal system: orthorhombic
- Volume: 260.2 Å³ per cell

(9)
Compound: LaRuClF2
Source: Alexandria
Functional: GGA-PBE
Structure: optimized geometry

Cell: 4.7385 4.2335 4.7385 Å, 90.00 90.00 90.00°
Sites, in units of the cell vectors:
1 Cl 0.0000 0.0000 0.0000
2 F 0.0000 0.0000 0.5000
3 La 0.5000 0.5000 0.5000
4 F 0.5000 0.0000 0.0000
5 Ru 0.0000 0.5000 0.0000

Calculated values
- Formation energy (no corrections): -0.9271 eV/atom
- Crystal system: tetragonal
- Volume: 95.1 Å³ per cell

(10)
Compound: Hg2Pd2Ru
Source: Alexandria
Functional: GGA-PBE
Structure: optimized geometry

Cell: 7.7725 7.7725 3.0595 Å, 90.00 90.00 90.00°
Site moments in Bohr magnetons follow the coordinates.
Sites, in units of the cell vectors:
1 Pd 0.3466 0.1534 0.5000  0.04
2 Pd 0.6534 0.8466 0.5000  0.04
3 Hg 0.6460 0.1460 0.0000  -0.01
4 Ru 0.5000 0.5000 0.0000  1.88
5 Hg 0.1460 0.3540 0.0000  -0.01
6 Hg 0.3540 0.8540 0.0000  -0.01
7 Hg 0.8540 0.6460 0.0000  -0.01
8 Ru 0.0000 0.0000 0.0000  1.88
9 Pd 0.1534 0.6534 0.5000  0.05
10 Pd 0.8466 0.3466 0.5000  0.05

Calculated values
- Crystal system: tetragonal
- ΔE_f: 2.14 eV/f.u.
- Volume: 184.8 Å³ per cell